[1]
Compound: ScAlCd
Source: the Alexandria database
Functional: PBE
Structure: relaxed

Summary:
SG: Imma (74)
Electronic total energy in eV per atom: -3.980
Theoretical density in g cm⁻³: 5.04

a = 4.7087 Å, b = 5.6550 Å, c = 5.6549 Å
α = 110.76°, β = 65.38°, γ = 114.63°
Positions (direct):
1 Sc 0.2805 0.2483 0.4623
2 Sc 0.2806 0.7484 0.9622
3 Cd 0.9390 0.6565 0.5534
4 Cd 0.6222 0.8401 0.3710
5 Al 0.9561 0.1742 0.0368
6 Al 0.6050 0.3227 0.8878

=====

[2]
Compound: Cs2S13
Source: the Alexandria database
Functional: PBE
Structure: relaxed

Summary:
SG: R-3m (166)
Electronic total energy in eV per atom: -3.779
Theoretical density in g cm⁻³: 2.27
E_form (uncorrected) in eV per formula unit: -1.3

a = 9.3382 Å, b = 9.3382 Å, c = 9.3382 Å
α = 54.35°, β = 54.35°, γ = 54.35°
Positions (direct):
1 S 0.0497 0.6633 0.0497
2 S 0.9503 0.3367 0.9503
3 S 0.1489 0.7530 0.7530
4 S 0.5000 0.5000 0.5000
5 S 0.2470 0.2470 0.8511
6 S 0.8511 0.2470 0.2470
7 S 0.0497 0.0497 0.6633
8 S 0.7530 0.1489 0.7530
9 S 0.7530 0.7530 0.1489
10 S 0.3367 0.9503 0.9503
11 S 0.2470 0.8511 0.2470
12 S 0.9503 0.9503 0.3367
13 S 0.6633 0.0497 0.0497
14 Cs 0.6374 0.6374 0.6374
15 Cs 0.3626 0.3626 0.3626

=====

[3]
Compound: DyTh2ScBi4
Source: the Alexandria database
Functional: PBE
Structure: relaxed

Summary:
SG: P2/m (10)
Electronic total energy in eV per atom: -5.814
Theoretical density in g cm⁻³: 9.78

a = 4.5099 Å, b = 7.7280 Å, c = 7.8045 Å
α = 70.24°, β = 90.00°, γ = 90.00°
Positions (direct):
1 Dy 0.0000 0.5000 0.5000
2 Bi 0.0000 0.7307 0.7623
3 Bi 0.5000 0.7350 0.2493
4 Bi 0.0000 0.2693 0.2377
5 Bi 0.5000 0.2650 0.7507
6 Th 0.0000 0.0000 0.0000
7 Th 0.5000 0.0000 0.5000
8 Sc 0.5000 0.5000 0.0000

=====

> The lowest electronic total energy belongs to which entry?

DyTh2ScBi4

=====

> Which value of electronic total energy does entry 2 give?

-3.779 eV per atom